Entry from Alexandria via LeMat-Bulk: a relaxed CaLa2InRh crystal (GGA-PBE).

ΔH_f (0 K)	-422	meV/atom
excess energy over the best structure of this formula in the dataset	0.00	eV/f.u.
total energy	-4.8114	eV per atom

The structure in POSCAR format:
```
CaLa2InRh
1.0
-0.2521 4.1786 3.5414
-5.3972 0.4150 -0.8738
-0.9421 -3.5570 4.1300
Rh La Ca In
1 2 1 1
Cartesian
0.0000 0.0000 0.0000
-2.6986 0.2075 -0.4369
-0.1261 2.0893 1.7707
-0.4711 -1.7785 2.0650
-3.2957 0.5183 3.3988
```

Entry from Alexandria via LeMat-Bulk: a relaxed Pu2Ga12Rh crystal (GGA-PBE).

ΔH_f (0 K)	-324	meV/atom
total energy	-5.1464	eV per atom

The structure in POSCAR format:
```
Pu2Ga12Rh
1.0
-2.8082 -3.8503 -3.6928
-1.2208 -3.5986 4.6805
-13.5312 7.6286 2.3359
Ga Pu Rh
24 4 2
Cartesian
-2.8183 -2.9837 2.7944
-6.6672 -1.1014 1.2971
-14.7411 3.1648 0.5290
-12.9789 2.4570 2.3867
-15.3520 1.3647 2.8686
-7.9070 0.0834 -0.6739
-8.9637 -2.3278 1.0794
-13.9482 3.2892 4.7158
-10.4468 -0.0295 -0.1891
-6.6970 1.4366 1.9163
-2.2085 -1.1851 0.4535
-4.5813 -2.2773 0.9370
-10.9644 6.1814 1.8928
-10.8930 1.2810 2.0266
-2.5668 1.4471 0.4431
-8.8487 2.4675 0.9135
-3.6128 -3.1109 -1.3920
-7.7536 -0.9746 3.6696
-4.6527 2.6231 0.8032
-9.0129 1.2801 3.8406
-13.3372 5.0892 2.3763
-10.6110 -1.2169 2.7380
-8.8785 5.0055 1.5327
-4.2227 -4.9095 0.9489
-11.6621 3.8581 -0.0755
-3.8836 0.0460 2.9053
-10.8684 3.9839 4.1111
-4.6772 -0.0798 -1.2813
-1.4041 -1.9251 -1.8464
-0.6104 -1.7993 2.3402
```

Entry from Alexandria via LeMat-Bulk: a relaxed La2ScW crystal (GGA-PBE).

ΔH_f (0 K)	455	meV/atom
excess energy over the best structure of this formula in the dataset	0.33	eV/f.u.
total energy	-6.8298	eV per atom

The structure in POSCAR format:
```
La2ScW
1.0
-3.6666 -2.2193 4.4994
2.6847 -3.9268 3.9982
0.1680 5.7501 -2.3499
W La Sc
1 2 1
Cartesian
1.1688 -0.7006 3.0533
-1.9894 0.2620 3.1533
-0.0366 -0.2291 0.3167
-0.4475 -2.8014 3.8732
```

Entry from Alexandria via LeMat-Bulk: a relaxed HfMoH4 crystal (GGA-PBE).

excess energy over the best structure of this formula in the dataset	0.00	eV/f.u.
total energy	-5.9549	eV per atom

The structure in POSCAR format:
```
HfMoH4
1.0
-2.7660 3.5652 0.6652
-3.5908 -2.8094 0.1258
3.7012 -0.8077 4.0817
H Mo Hf
8 2 2
Cartesian
-3.0353 0.2580 1.6077
0.3797 -0.3098 3.2650
-0.9989 1.4670 3.5964
0.1431 -0.1199 1.2123
-1.6568 -1.5188 1.2763
-2.7987 0.0681 3.6603
-1.4112 -1.7204 3.3268
-1.2445 1.6685 1.5459
1.8506 -0.4038 2.0408
-1.3278 -0.0259 2.4363
-3.3846 -1.2158 0.2606
-2.9723 1.9716 0.5303
```

Entry from Alexandria via LeMat-Bulk: a relaxed Zn2CrAg crystal (GGA-PBE).

ΔH_f (0 K)	160	meV/atom
total energy	-3.5952	eV per atom

The structure in POSCAR format:
```
Zn2CrAg
1.0
-0.6283 2.5561 0.3439
-0.6140 0.1862 -2.5758
-7.7242 -2.1257 1.6876
Zn Cr Ag
2 1 1
Cartesian
-3.9889 -1.0978 0.8715
-7.5974 -2.0908 1.6599
-6.4143 -0.2232 0.1498
-2.5522 0.8397 -0.6940
```

Entry from Alexandria via LeMat-Bulk: a relaxed Hf3HgC crystal (GGA-PBE).

ΔH_f (0 K)	796	meV/atom
excess energy over the best structure of this formula in the dataset	6.52	eV/f.u.
total energy	-7.0817	eV per atom

The structure in POSCAR format:
```
Hf3HgC
1.0
2.7361 -7.8153 0.0000
2.7361 7.8153 0.0000
0.0000 0.0000 5.4941
Hf C Hg
6 2 2
Cartesian
4.1250 -2.5698 4.1206
4.1250 2.5698 1.3735
1.3472 2.5698 1.3735
0.0000 0.0000 2.7471
1.3472 -2.5698 4.1206
0.0000 0.0000 0.0000
2.7361 -1.0475 4.1206
2.7361 1.0475 1.3735
2.7361 -5.2052 4.1206
2.7361 5.2052 1.3735
```

Entry from Alexandria via LeMat-Bulk: a relaxed La5Tb2Tm4 crystal (GGA-PBE).

ΔH_f (0 K)	82	meV/atom
excess energy over the best structure of this formula in the dataset	0.00	eV/f.u.
total energy	-4.6261	eV per atom

The structure in POSCAR format:
```
La5Tb2Tm4
1.0
3.4975 0.0000 -0.6605
-0.1916 11.6757 -1.0144
-0.1019 0.1788 9.0511
Tb Tm La
2 4 5
Cartesian
2.3934 4.1316 3.0835
0.8107 7.7229 4.2928
3.1398 8.7945 7.0361
2.0569 9.3612 1.3017
0.0642 3.0600 0.3401
1.1471 2.4933 6.0746
0.2180 6.2705 1.1546
1.7488 0.0000 -0.3302
0.5666 0.8927 3.0006
2.9860 5.5841 6.2217
2.6374 10.9618 4.3756
```

Entry from Alexandria via LeMat-Bulk: a relaxed YZnCu2 crystal (GGA-PBE).

ΔH_f (0 K)	-43	meV/atom
total energy	-4.0256	eV per atom

The structure in POSCAR format:
```
YZnCu2
1.0
4.3517 0.0045 -0.0200
-0.0048 4.3517 -0.0200
0.0180 0.0180 3.7743
Cu Zn Y
2 1 1
Cartesian
2.1734 2.1781 -0.0200
0.0000 0.0000 0.0000
0.0066 2.1849 1.8772
2.1848 0.0113 1.8772
```

Entry from Alexandria via LeMat-Bulk: a relaxed PuMg4Sc crystal (GGA-PBE).

ΔH_f (0 K)	92	meV/atom
total energy	-4.4152	eV per atom

The structure in POSCAR format:
```
PuMg4Sc
1.0
-3.1450 -4.1435 -2.8290
-2.1603 -4.6324 2.9894
-5.8273 -0.4553 0.9479
Mg Sc Pu
4 1 1
Cartesian
-5.3849 -3.6953 2.1115
-6.9617 -5.7727 0.6931
-4.0401 -5.5444 0.2178
-5.8786 -3.4501 -0.8057
0.0000 0.0000 0.0000
-2.7831 -2.3078 0.2771
```

Entry from Alexandria via LeMat-Bulk: a relaxed K3NpBi2Te6 crystal (GGA-PBE).

ΔE_f (raw)	-704	meV/atom
total energy	-4.2746	eV per atom

The structure in POSCAR format:
```
K3NpBi2Te6
1.0
7.9554 -0.0010 0.0010
-3.9767 6.8902 0.0010
-1.3261 -2.2961 8.2889
Bi K Te Np
2 3 6 1
Cartesian
0.0040 4.5912 0.0010
3.9747 2.2980 0.0010
-2.6304 4.5817 4.1454
1.3263 2.2965 4.1454
5.2831 0.0114 4.1454
2.6431 -0.0017 1.7548
-0.0043 -0.0074 6.5276
2.6570 4.6005 1.7632
3.9751 2.3046 6.5360
-1.3224 2.2885 1.7548
0.0096 4.5948 6.5360
0.0000 0.0000 0.0000
```

Entry from Alexandria via LeMat-Bulk: a relaxed ZnTcSe4 crystal (GGA-PBE).

ΔE_f (raw)	956	meV/atom
total energy	-3.3072	eV per atom

The structure in POSCAR format:
```
ZnTcSe4
1.0
3.3646 0.7243 4.5277
0.2647 5.0695 2.5642
-2.2874 0.6997 5.1598
Se Tc Zn
4 1 1
Cartesian
-0.6440 2.7837 7.1771
0.5028 2.4329 4.5903
0.6354 4.9744 5.8759
2.1896 2.7961 6.8602
1.0064 4.8702 9.1888
0.0000 0.0000 0.0000
```

Entry from Alexandria via LeMat-Bulk: a relaxed Bi3AsH2Pd9 crystal (GGA-PBE).

total energy	-4.8732	eV per atom

The structure in POSCAR format:
```
Bi3AsH2Pd9
1.0
5.8737 0.0000 0.0000
-2.9369 5.0868 0.0000
0.0000 0.0000 8.2509
Pd Bi H As
9 3 2 1
Cartesian
1.4271 4.2151 2.3832
-1.4271 4.2151 2.3832
1.5098 0.8717 5.8677
2.9369 0.0000 0.0000
0.0000 1.7434 2.3832
-1.4684 2.5434 0.0000
1.4684 2.5434 0.0000
4.3639 0.8717 5.8677
2.9369 3.3434 5.8677
0.0000 3.3912 5.1032
2.9369 1.6956 3.1477
0.0000 0.0000 0.0000
0.0000 3.3912 0.8312
2.9369 1.6956 7.4197
0.0000 0.0000 4.1254
```